{"formula": "LiAl2AgH", "functional": "PBE", "state": "relaxed", "crystal_system": "tetragonal", "dft_energy_ev_per_cell": -15.63, "lattice_angstrom": [[4.0597, 0.0000, 0.0000], [0.0000, 4.0597, 0.0000], [0.0000, 0.0000, 4.0549]], "species": ["Li", "Al", "Al", "Ag", "H"], "frac_coords": [[0.0000, 0.0000, 0.0000], [0.0000, 0.5000, 0.5000], [0.5000, 0.0000, 0.5000], [0.5000, 0.5000, 0.0000], [0.0000, 0.0000, 0.5000]]}